(1)
Below is a geometry-optimized PmDy6Ho4 structure, with properties calculated at the GGA-PBE level.

Output
Energy above the lowest structure with this stoichiometry ... 0.000 eV per atom

Cell: 5.5793 5.5793 25.5994 Å, 90.00 90.00 118.54°
Closest atoms and distances in Å follow each position.
Element x y z (fractional)
Pm (0.1915, 0.8085, 0.7500)  3 Dy 3.21-3.26
Pm (0.8085, 0.1915, 0.2500)  3 Dy 3.21-3.26
Dy (0.1385, 0.8615, 0.1808)  4 Ho 3.50-3.63, 7 Dy 3.54-3.84, 3 Pm 3.63-3.73
Dy (0.1385, 0.8615, 0.3192)  4 Ho 3.50-3.63, 7 Dy 3.54-3.84, 3 Pm 3.63-3.73
Dy (0.1933, 0.8067, 0.6023)  5 Ho 3.28-3.55
Dy (0.1933, 0.8067, 0.8977)  5 Ho 3.28-3.55
Dy (0.4739, 0.5261, 0.2500)  3 Pm 3.21-3.26, 2 Ho 3.30
Dy (0.5000, 0.5000, 0.0000)  8 Ho 3.12-3.48
Dy (0.5000, 0.5000, 0.5000)  8 Ho 3.12-3.48
Dy (0.5261, 0.4739, 0.7500)  3 Pm 3.21-3.26, 2 Ho 3.30
Dy (0.8067, 0.1933, 0.1023)  5 Ho 3.28-3.55
Dy (0.8067, 0.1933, 0.3977)  5 Ho 3.28-3.55
Dy (0.8615, 0.1385, 0.6808)  4 Ho 3.50-3.63, 7 Dy 3.54-3.84, 3 Pm 3.63-3.73
Dy (0.8615, 0.1385, 0.8192)  4 Ho 3.50-3.63, 7 Dy 3.54-3.84, 3 Pm 3.63-3.73
Ho (0.1555, 0.8445, 0.0423)  8 Dy 3.39-3.72, 2 Ho 3.61-3.69
Ho (0.1555, 0.8445, 0.4577)  8 Dy 3.39-3.72, 2 Ho 3.61-3.69
Ho (0.4671, 0.5329, 0.1212)  5 Dy 3.12-3.30
Ho (0.4671, 0.5329, 0.3788)  5 Dy 3.12-3.30
Ho (0.5329, 0.4671, 0.6212)  5 Dy 3.12-3.30
Ho (0.5329, 0.4671, 0.8788)  5 Dy 3.12-3.30
Ho (0.8445, 0.1555, 0.5423)  8 Dy 3.39-3.72, 2 Ho 3.61-3.69
Ho (0.8445, 0.1555, 0.9577)  8 Dy 3.39-3.72, 2 Ho 3.61-3.69

---

(2)
Below is a geometry-optimized Pm6DyHo8 structure, with properties calculated at the GGA-PBE level.

Cell: 8.6806 8.6806 8.6806 Å, 63.05 63.05 63.05°
Closest atoms and distances in Å follow each position.
Element x y z (fractional)
Pm (0.0385, 0.6045, 0.7275)  4 Ho 3.38-3.71, 1 Dy 3.45, 2 Pm 3.52
Pm (0.2725, 0.9615, 0.3955)  4 Ho 3.38-3.71, 1 Dy 3.45, 2 Pm 3.52
Pm (0.3955, 0.2725, 0.9615)  4 Ho 3.38-3.71, 1 Dy 3.45, 2 Pm 3.52
Pm (0.6045, 0.7275, 0.0385)  4 Ho 3.38-3.71, 1 Dy 3.45, 2 Pm 3.52
Pm (0.7275, 0.0385, 0.6045)  4 Ho 3.38-3.71, 1 Dy 3.45, 2 Pm 3.52
Pm (0.9615, 0.3955, 0.2725)  4 Ho 3.38-3.71, 1 Dy 3.45, 2 Pm 3.52
Dy (0.5000, 0.5000, 0.5000)  6 Pm 3.45, 6 Ho 3.53
Ho (0.0767, 0.0767, 0.0767)  4 Ho 3.19-3.43, 3 Pm 3.43
Ho (0.2188, 0.6117, 0.2474)  3 Pm 3.38-3.71, 5 Ho 3.43-3.44, 1 Dy 3.53
Ho (0.2474, 0.2188, 0.6117)  3 Pm 3.38-3.71, 5 Ho 3.43-3.44, 1 Dy 3.53
Ho (0.3883, 0.7526, 0.7812)  3 Pm 3.38-3.71, 5 Ho 3.43-3.44, 1 Dy 3.53
Ho (0.6117, 0.2474, 0.2188)  3 Pm 3.38-3.71, 5 Ho 3.43-3.44, 1 Dy 3.53
Ho (0.7526, 0.7812, 0.3883)  3 Pm 3.38-3.71, 5 Ho 3.43-3.44, 1 Dy 3.53
Ho (0.7812, 0.3883, 0.7526)  3 Pm 3.38-3.71, 5 Ho 3.43-3.44, 1 Dy 3.53
Ho (0.9233, 0.9233, 0.9233)  4 Ho 3.19-3.43, 3 Pm 3.43

---

(3)
Below is a geometry-optimized Pm7DyHo2 structure, with properties calculated at the GGA-PBE level.

Cell: 9.3758 9.3758 5.6063 Å, 90.00 90.00 123.99°
Closest atoms and distances in Å follow each position.
Element x y z (fractional)
Pm (0.0000, 0.0000, 0.0000)  4 Pm 3.39, 2 Ho 3.40
Pm (0.2089, 0.4340, 0.0000)  2 Pm 3.14-3.39, 2 Ho 3.22-3.40
Pm (0.2849, 0.7151, 0.5000)  2 Ho 3.10
Pm (0.4340, 0.2089, 0.0000)  2 Pm 3.14-3.39, 2 Ho 3.22-3.40
Pm (0.5660, 0.7911, 0.0000)  2 Pm 3.14-3.39, 2 Ho 3.22-3.40
Pm (0.7151, 0.2849, 0.5000)  2 Ho 3.10
Pm (0.7911, 0.5660, 0.0000)  2 Pm 3.14-3.39, 2 Ho 3.22-3.40
Dy (0.5000, 0.5000, 0.5000)  10 Pm 3.56-3.72
Ho (0.2051, 0.7949, 0.0000)  7 Pm 3.10-3.40
Ho (0.7949, 0.2051, 0.0000)  7 Pm 3.10-3.40

---

Final energy per entry: -4.4812, -4.5266, -4.0493 eV per atom